The following is a GGA-PBE calculation of a relaxed LaMg2Ir crystal, from Alexandria.

Output
* formation enthalpy at 0 K: 0.038 eV/atom

abc: 5.4945 5.4945 3.2802
angles: 90.00 90.00 118.06
Fractional coordinates of all 4 atoms:
Mg 0.0000 0.0000 0.0000
Mg 0.5000 0.5000 0.0000
Ir 0.5000 0.0000 0.5000
La 0.0000 0.5000 0.5000


The following is a GGA-PBE calculation of a relaxed LaMg2Zn2Ag crystal, from Alexandria.

Output
* formation enthalpy at 0 K: 0.062 eV/atom

abc: 5.1440 5.1440 6.7186
angles: 112.51 112.51 90.00
Fractional coordinates of all 6 atoms:
Zn 0.7778 0.7778 0.5556
Zn 0.2222 0.2222 0.4444
Ag 0.0000 0.0000 0.0000
La 0.5000 0.5000 0.0000
Mg 0.7500 0.2500 0.5000
Mg 0.2500 0.7500 0.5000


The following is a GGA-PBE calculation of a relaxed YbAl20Cr2 crystal, from Alexandria.

Output
* formation enthalpy at 0 K: -0.148 eV/atom

abc: 10.1902 10.1902 10.1902
angles: 60.00 60.00 60.00
Site moments in Bohr magnetons follow the coordinates.
Fractional coordinates of all 46 atoms:
Cr 0.1250 0.6250 0.1250  0.62
Al 0.9509 0.6823 0.9509  0.00
Al 0.8624 0.1376 0.1376  -0.01
Al 0.8340 0.2991 0.2991  0.00
Al 0.2991 0.2991 0.8340  0.00
Al 0.2991 0.8340 0.5677  0.00
Al 0.3876 0.3876 0.1124  -0.01
Al 0.2991 0.8340 0.2991  0.00
Al 0.9509 0.4160 0.9509  0.00
Cr 0.1250 0.1250 0.6250  0.62
Al 0.1376 0.1376 0.8624  -0.01
Al 0.1376 0.8624 0.8624  -0.01
Al 0.9509 0.9509 0.4160  0.00
Al 0.6250 0.1250 0.6250  0.00
Al 0.6823 0.4160 0.9509  0.00
Al 0.8624 0.1376 0.8624  -0.01
Al 0.4160 0.9509 0.9509  0.00
Al 0.6250 0.6250 0.6250  0.00
Al 0.3876 0.1124 0.3876  -0.01
Al 0.6823 0.9509 0.9509  0.00
Al 0.8340 0.2991 0.5677  0.00
Al 0.5677 0.2991 0.8340  0.00
Al 0.9509 0.6823 0.4160  0.00
Cr 0.6250 0.1250 0.1250  0.62
Al 0.3876 0.1124 0.1124  -0.01
Al 0.1124 0.1124 0.3876  -0.01
Al 0.1124 0.3876 0.1124  -0.01
Al 0.2991 0.5677 0.2991  0.00
Al 0.9509 0.9509 0.6823  0.00
Al 0.9509 0.4160 0.6823  0.00
Cr 0.1250 0.1250 0.1250  0.62
Al 0.1376 0.8624 0.1376  -0.01
Al 0.6823 0.9509 0.4160  0.00
Al 0.8624 0.8624 0.1376  -0.01
Yb 0.7500 0.7500 0.7500  0.01
Al 0.6250 0.6250 0.1250  0.00
Al 0.1250 0.6250 0.6250  0.00
Al 0.4160 0.6823 0.9509  0.00
Al 0.2991 0.2991 0.5677  0.00
Yb 0.5000 0.5000 0.5000  0.01
Al 0.8340 0.5677 0.2991  0.00
Al 0.2991 0.5677 0.8340  0.00
Al 0.1124 0.3876 0.3876  -0.01
Al 0.4160 0.9509 0.6823  0.00
Al 0.5677 0.8340 0.2991  0.00
Al 0.5677 0.2991 0.2991  0.00


The following is a GGA-PBE calculation of a relaxed Zr2AlSi crystal, from Alexandria.

Output
* uncorrected formation energy: -0.24 eV/atom

abc: 3.2469 3.2469 7.3451
angles: 90.00 90.00 98.51
Fractional coordinates of all 4 atoms:
Zr 0.0000 0.0000 0.9581
Al 0.0000 0.0000 0.5363
Zr 0.5000 0.5000 0.2830
Si 0.5000 0.5000 0.7227


The following is a GGA-PBE calculation of a relaxed HoTh2Tl3Te6 crystal, from Alexandria.

Output
* uncorrected formation energy: -0.89 eV/atom

abc: 7.6066 7.6066 8.8530
angles: 98.23 98.23 119.94
Fractional coordinates of all 12 atoms:
Te 0.2518 0.2518 0.7770
Ho 0.0000 0.0000 0.0000
Tl 0.1685 0.8315 0.5000
Te 0.4003 0.0729 0.2202
Te 0.9271 0.5997 0.7798
Tl 0.5000 0.5000 0.5000
Tl 0.8315 0.1685 0.5000
Th 0.3343 0.6657 0.0000
Th 0.6657 0.3343 0.0000
Te 0.7482 0.7482 0.2230
Te 0.5997 0.9271 0.7798
Te 0.0729 0.4003 0.2202


The following is a GGA-PBE calculation of a relaxed NdBeAl2Ir2 crystal, from Alexandria.

Output
* formation enthalpy at 0 K: -0.682 eV/atom

abc: 4.2673 4.2673 5.6735
angles: 90.00 90.00 90.00
Fractional coordinates of all 6 atoms:
Ir 0.5000 0.0000 0.0000
Al 0.5000 0.5000 0.7390
Ir 0.0000 0.5000 0.0000
Al 0.5000 0.5000 0.2610
Nd 0.0000 0.0000 0.5000
Be 0.0000 0.0000 0.0000


| no. | calculated volume (Å³/f.u.) | E_tot (eV/atom) |
| --- | --- | --- |
| 1 | 87.39 | -4.21 |
| 2 | 149.47 | -2.19 |
| 3 | 374.11 | -4.31 |
| 4 | 76.58 | -6.81 |
| 5 | 425.31 | -4.67 |
| 6 | 103.32 | -6.30 |